[1]
## Pr2HPd (GGA-PBE)

Data for a relaxed structure of Pr2HPd.

Output
- Mass density: 6.93 g cm⁻³
- Calculated volume: 23.31 Å³ per atom
- Density of states at the Fermi level: 0.615 states/eV per atom
- Excess energy over the best structure of this formula in the dataset: 0.0 kJ/mol of atoms

Cell: 3.8886 3.8886 21.3589 Å, 90.00 90.00 120.00°
Space group R3m (No. 160, hexagonal axes)
Unique sites:
Pr  0.0000  0.0000  0.0000
Pr  0.0000  0.0000  0.1594
H  0.0000  0.0000  0.4136
Pd  0.0000  0.0000  0.5794

=====

[2]
## PrH2Pd2 (GGA-PBE)

Data for a relaxed structure of PrH2Pd2.

Output
- Energy: -4.89 eV per atom
- Mass density: 8.47 g cm⁻³
- Calculated volume: 13.94 Å³ per atom
- Density of states at the Fermi level: 0.234 states/eV per atom

Cell: 4.6537 4.6537 3.7174 Å, 90.00 90.00 120.00°
Space group P6/mmm (No. 191)
Unique sites:
Pr  0.0000  0.0000  0.0000
H  0.3333  0.6667  0.0000
Pd  0.3333  0.6667  0.5000

=====

[3]
## PrHPd6 (GGA-PBE)

Data for a relaxed structure of PrHPd6.

Output
- Energy: -5.18 eV per atom
- Mass density: 9.80 g cm⁻³
- Calculated volume: 16.53 Å³ per atom
- Density of states at the Fermi level: 1.193 states/eV per atom

Cell: 5.5811 5.5811 14.7099 Å, 90.00 90.00 120.00°
Space group R-3m (No. 166, hexagonal axes)
Unique sites:
Pr  0.0000  0.0000  0.0000
H  0.0000  0.0000  0.5000
Pd  0.0084  0.5042  0.9088

=====

[4]
## PrH7Pd5 (GGA-PBE)

Data for a relaxed structure of PrH7Pd5.

Output
- Energy: -4.47 eV per atom
- Mass density: 8.45 g cm⁻³
- Calculated volume: 10.28 Å³ per atom
- Density of states at the Fermi level: 0.102 states/eV per atom

Cell: 5.648 5.702 5.753 Å, 118.96 90.11 119.60°
Space group P1 (No. 1)
Unique sites:
Pr  0.000  0.000  0.000
H  0.022  0.039  0.476
H  0.023  0.473  0.977
H  0.271  0.533  0.445
H  0.451  0.474  0.976
H  0.457  0.926  0.931
H  0.510  0.016  0.505
H  0.799  0.592  0.485
Pd  0.121  0.741  0.395
Pd  0.238  0.478  0.737
Pd  0.587  0.173  0.298
Pd  0.626  0.743  0.396
Pd  0.649  0.298  0.871

=====

[5]
## PrH2Pd (GGA-PBE)

Data for a relaxed structure of PrH2Pd.

Output
- Mass density: 6.77 g cm⁻³
- Calculated volume: 15.30 Å³ per atom
- Density of states at the Fermi level: 0.464 states/eV per atom
- Excess energy over the best structure of this formula in the dataset: 0.0 kJ/mol of atoms

Cell: 4.2223 4.2223 11.8909 Å, 90.00 90.00 120.00°
Space group R-3m (No. 166, hexagonal axes)
Unique sites:
Pr  0.0000  0.0000  0.0000
H  0.0000  0.0000  0.3574
Pd  0.0000  0.0000  0.5000

=====

[6]
## PrH4Pd5 (GGA-PBE)

Data for a relaxed structure of PrH4Pd5.

Output
- Energy: -4.75 eV per atom
- Mass density: 9.31 g cm⁻³
- Calculated volume: 12.07 Å³ per atom
- Density of states at the Fermi level: 0.155 states/eV per atom

Cell: 5.894 8.473 4.834 Å, 90.00 90.00 90.00°
Space group Pmmn (No. 59, origin choice 2)
Unique sites:
Pr  0.250  0.250  0.230
H  0.070  0.750  0.442
H  0.250  0.531  0.891
Pd  0.004  0.579  0.246
Pd  0.250  0.750  0.765